K2BaCl at its PBEsol-relaxed geometry. Source: Alexandria, functional SCAN.

Results
formation energy from raw total energies = -2.56 eV per formula unit

a b c (Å): 4.951 4.951 7.962
angles (deg): 90.00 90.00 90.00
Space group P4/mmm (No. 123)
One atom of each set of equivalent atoms:
K1 0.000 0.500 0.000
Ba1 0.000 0.000 0.500
Cl1 0.500 0.500 0.500

***

KBaP2Cl at its PBEsol-relaxed geometry. Source: Alexandria, functional SCAN.

Results
formation energy from raw total energies = -1.32 eV per formula unit

a b c (Å): 6.196 6.196 5.883
angles (deg): 90.00 90.00 90.00
Space group P4/mmm (No. 123)
One atom of each set of equivalent atoms:
K1 0.000 0.000 0.000
Ba1 0.500 0.500 0.500
P1 0.000 0.500 0.500
Cl1 0.500 0.500 0.000

***

BaLa2Cl8 at its PBEsol-relaxed geometry. Source: Alexandria, functional SCAN.

Results
formation energy from raw total energies = -29.47 eV per formula unit

a b c (Å): 18.676 9.862 9.163
angles (deg): 90.00 119.21 90.00
Space group C2/c (No. 15)
One atom of each set of equivalent atoms:
Ba1 0.000 0.003 0.250
La1 0.216 0.237 0.717
Cl1 0.046 0.187 0.549
Cl2 0.163 0.176 0.367
Cl3 0.165 0.169 0.961
Cl4 0.181 0.490 0.178

***

Please write out number 3 again, unchanged.
BaLa2Cl8 at its PBEsol-relaxed geometry. Source: Alexandria, functional SCAN.

Results
formation energy from raw total energies = -29.47 eV per formula unit

a b c (Å): 18.676 9.862 9.163
angles (deg): 90.00 119.21 90.00
Space group C2/c (No. 15)
One atom of each set of equivalent atoms:
Ba1 0.000 0.003 0.250
La1 0.216 0.237 0.717
Cl1 0.046 0.187 0.549
Cl2 0.163 0.176 0.367
Cl3 0.165 0.169 0.961
Cl4 0.181 0.490 0.178

***

Question: Among the records above, which one has the highest formation energy from raw total energies?
Answer: KBaP2Cl